Entry from Alexandria: ReRuSe2 after structural relaxation (GGA-PBE).

Summary:
E_form (uncorrected), eV/f.u.: 1.79
Electronic total energy, eV per atom: -6.726
Total magnetic moment, μB per atom: 0.00
Density of states at the Fermi level, states/eV per cell: 3.75

Cell: 4.422 4.422 4.422 Å, 60.00 60.00 60.00°
Sites, in units of the cell vectors:
Ru: 0.000 0.000 0.000
Se: 0.250 0.250 0.250
Re: 0.500 0.500 0.500
Se: 0.750 0.750 0.750